1.
DFT (PBE-GGA) results for crystalline ThCu2Rh at its relaxed geometry.

Calculated volume in A^3/atom: 18.41
Density in g/cm³: 10.42
Energy of formation from the pure elements in kJ per mole of atoms: -22.67
SG: R-3m

Cell lengths 4.3336, 4.3336, 5.1725 Å; angles 65.23, 65.23, 60.00 degrees
Positions (direct):
Th (0.0000, 0.0000, 0.0000)
Rh (0.5000, 0.5000, 0.5000)
Cu (0.7909, 0.7909, 0.6273)
Cu (0.2091, 0.2091, 0.3727)

2.
DFT (PBE-GGA) results for crystalline Y2AgOs at its relaxed geometry.

Calculated volume in A^3/atom: 20.74
Density in g/cm³: 9.53
Energy of formation from the pure elements in kJ per mole of atoms: 19.28
SG: F-43m

Cell lengths 4.8954, 4.8954, 4.8954 Å; angles 60.00, 60.00, 60.00 degrees
Positions (direct):
Y (0.0000, 0.0000, 0.0000)
Y (0.7500, 0.7500, 0.7500)
Ag (0.5000, 0.5000, 0.5000)
Os (0.2500, 0.2500, 0.2500)

3.
DFT (PBE-GGA) results for crystalline KScBe2Sn at its relaxed geometry.

Calculated volume in A^3/atom: 26.18
Density in g/cm³: 2.80
Energy of formation from the pure elements in kJ per mole of atoms: 109.02
SG: P4/mmm

Cell lengths 4.7118, 5.8954, 4.7118 Å; angles 90.00, 90.00, 90.00 degrees
Positions (direct):
Sn (0.0000, 0.0000, 0.0000)
Sc (0.5000, 0.5000, 0.5000)
Be (0.0000, 0.0000, 0.5000)
Be (0.5000, 0.0000, 0.0000)
K (0.0000, 0.5000, 0.0000)

4.
DFT (PBE-GGA) results for crystalline Pm2AlGaGe at its relaxed geometry.

Calculated volume in A^3/atom: 25.00
Density in g/cm³: 6.10
Energy of formation from the pure elements in kJ per mole of atoms: -58.24
SG: P2_1/m

Cell lengths 4.3594, 7.6670, 7.4802 Å; angles 90.07, 90.00, 90.00 degrees
Positions (direct):
Ga (0.7500, 0.4085, 0.7494)
Ga (0.2500, 0.5915, 0.2506)
Ge (0.7500, 0.0905, 0.2495)
Ge (0.2500, 0.9095, 0.7505)
Al (0.2500, 0.5841, 0.7489)
Al (0.7500, 0.4159, 0.2511)
Pm (0.7500, 0.7727, 0.0049)
Pm (0.2500, 0.2273, 0.9951)
Pm (0.2500, 0.2262, 0.5047)
Pm (0.7500, 0.7738, 0.4953)

5.
DFT (PBE-GGA) results for crystalline TbHoTlGa at its relaxed geometry.

Polymorph energy (0 for the lowest one) in meV per atom: 0
Calculated volume in A^3/atom: 25.06
Density in g/cm³: 9.90
Energy of formation from the pure elements in kJ per mole of atoms: -44.15
SG: P4mm

Cell lengths 3.5828, 3.5828, 7.8100 Å; angles 90.00, 90.00, 90.00 degrees
Positions (direct):
Tl (0.5000, 0.5000, 0.1097)
Ho (0.0000, 0.0000, 0.3752)
Ga (0.5000, 0.5000, 0.6046)
Tb (0.0000, 0.0000, 0.8384)

6.
DFT (PBE-GGA) results for crystalline K2NaClO at its relaxed geometry.

Calculated volume in A^3/atom: 25.12
Density in g/cm³: 2.02
Formation energy without anion corrections in eV per atom: -1.41
SG: P4/mmm

Cell lengths 5.3167, 5.3167, 4.4436 Å; angles 90.00, 90.00, 90.00 degrees
Positions (direct):
K (0.5000, 0.0000, 0.0000)
K (0.0000, 0.5000, 0.0000)
Cl (0.5000, 0.5000, 0.5000)
O (0.0000, 0.0000, 0.0000)
Na (0.0000, 0.0000, 0.5000)

7.
DFT (PBE-GGA) results for crystalline CsTlI2O8 at its relaxed geometry.

Calculated volume in A^3/atom: 23.76
Density in g/cm³: 4.19
Formation energy without anion corrections in eV per atom: -0.50
SG: R-3

Cell lengths 6.1640, 6.1640, 9.3679 Å; angles 70.79, 70.79, 60.00 degrees
Positions (direct):
I (0.7527, 0.7527, 0.7419)
I (0.2473, 0.2473, 0.2581)
O (0.1781, 0.1781, 0.4658)
O (0.9777, 0.5290, 0.1915)
O (0.5290, 0.3017, 0.1915)
O (0.0223, 0.4710, 0.8085)
O (0.4710, 0.6983, 0.8085)
O (0.3017, 0.9777, 0.1915)
O (0.8219, 0.8219, 0.5342)
O (0.6983, 0.0223, 0.8085)
Tl (0.0000, 0.0000, 0.0000)
Cs (0.5000, 0.5000, 0.5000)

8.
DFT (PBE-GGA) results for crystalline Y4Al12Zn at its relaxed geometry.

Calculated volume in A^3/atom: 19.41
Density in g/cm³: 3.75
Energy of formation from the pure elements in kJ per mole of atoms: -37.00
SG: Im-3m

Cell lengths 7.5396, 7.5396, 7.5396 Å; angles 109.47, 109.47, 109.47 degrees
Positions (direct):
Al (0.3017, 0.3017, 0.0000)
Al (0.6983, 0.6983, 0.0000)
Al (0.2500, 0.7500, 0.5000)
Al (0.0000, 0.6983, 0.6983)
Al (0.7500, 0.2500, 0.5000)
Al (0.0000, 0.3017, 0.3017)
Al (0.5000, 0.7500, 0.2500)
Al (0.2500, 0.5000, 0.7500)
Al (0.3017, 0.0000, 0.3017)
Al (0.7500, 0.5000, 0.2500)
Al (0.5000, 0.2500, 0.7500)
Al (0.6983, 0.0000, 0.6983)
Y (0.5000, 0.0000, 0.0000)
Y (0.0000, 0.5000, 0.0000)
Y (0.0000, 0.0000, 0.5000)
Y (0.5000, 0.5000, 0.5000)
Zn (0.0000, 0.0000, 0.0000)

9.
DFT (PBE-GGA) results for crystalline Cs2InGe2 at its relaxed geometry.

Polymorph energy (0 for the lowest one) in meV per atom: 86
Calculated volume in A^3/atom: 35.03
Density in g/cm³: 4.99
Energy of formation from the pure elements in kJ per mole of atoms: 5.78
SG: P4/mbm

Cell lengths 7.4452, 7.4452, 6.3202 Å; angles 90.00, 90.00, 90.00 degrees
Positions (direct):
Cs (0.6831, 0.8169, 0.5000)
Cs (0.8169, 0.3169, 0.5000)
Cs (0.1831, 0.6831, 0.5000)
Cs (0.3169, 0.1831, 0.5000)
Ge (0.1185, 0.3815, 0.0000)
Ge (0.6185, 0.1185, 0.0000)
Ge (0.3815, 0.8815, 0.0000)
Ge (0.8815, 0.6185, 0.0000)
In (0.5000, 0.5000, 0.0000)
In (0.0000, 0.0000, 0.0000)

10.
DFT (PBE-GGA) results for crystalline Sn2GeW at its relaxed geometry.

Calculated volume in A^3/atom: 30.86
Density in g/cm³: 6.64
Energy of formation from the pure elements in kJ per mole of atoms: 106.24
SG: I-42d

Cell lengths 6.2347, 6.2347, 7.7314 Å; angles 66.22, 66.22, 90.00 degrees
Each line ends with the local moment (μB).
Positions (direct):
Sn (0.6269, 0.1250, 0.2500)  -0.04
Sn (0.3750, 0.3731, 0.7500)  -0.04
Sn (0.1231, 0.6250, 0.2500)  -0.04
Sn (0.8750, 0.8769, 0.7500)  -0.05
W (0.7500, 0.2500, 0.5000)  1.46
W (0.0000, 0.0000, 0.0000)  1.46
Ge (0.5000, 0.5000, 0.0000)  0.04
Ge (0.2500, 0.7500, 0.5000)  0.04

> calculated volume of number 10 (Sn2GeW)?

30.86 A^3/atom

> The lowest calculated volume belongs to which entry?

ThCu2Rh